# 1
A relaxed structure of NaS14I, computed with PBE-GGA.

Cell: 12.559 12.559 12.559 Å, 124.04 118.41 87.96°
Atoms (fractional coordinates):
Na1 0.000 0.500 0.000
Na2 0.000 0.000 0.500
S1 0.781 0.803 0.978
S2 0.219 0.197 0.022
S3 0.325 0.303 0.022
S4 0.675 0.697 0.978
S5 0.223 0.425 0.798
S6 0.777 0.575 0.202
S7 0.127 0.925 0.202
S8 0.873 0.075 0.798
S9 0.364 0.526 0.838
S10 0.636 0.474 0.162
S11 0.187 0.026 0.162
S12 0.813 0.974 0.838
S13 0.780 0.282 0.137
S14 0.220 0.357 0.502
S15 0.645 0.782 0.502
S16 0.355 0.857 0.137
S17 0.220 0.718 0.863
S18 0.780 0.643 0.498
S19 0.355 0.218 0.498
S20 0.645 0.143 0.863
S21 0.274 0.780 0.184
S22 0.726 0.910 0.506
S23 0.095 0.280 0.506
S24 0.905 0.410 0.184
S25 0.726 0.220 0.816
S26 0.274 0.090 0.494
S27 0.905 0.720 0.494
S28 0.095 0.590 0.816
I1 0.927 0.250 0.677
I2 0.073 0.750 0.323

Computed properties:
Space-group type ... No. 74
Theoretical density ... 1.5 g cm⁻³
Formation energy without anion corrections ... -9 meV per atom
Crystal system ... orthorhombic

# 2
A relaxed structure of Pu4TcRh, computed with PBE-GGA.

Cell: 8.127 6.563 4.695 Å, 90.00 90.00 90.00°
Atoms (fractional coordinates):
Pu1 0.333 0.665 0.000
Pu2 0.334 0.159 0.000
Pu3 0.167 0.335 0.500
Pu4 0.166 0.841 0.500
Pu5 0.833 0.665 0.500
Pu6 0.834 0.159 0.500
Pu7 0.667 0.335 0.000
Pu8 0.666 0.841 0.000
Tc1 0.000 0.000 0.000
Tc2 0.500 0.000 0.500
Rh1 0.000 0.500 0.000
Rh2 0.500 0.500 0.500

Computed properties:
ΔE_f ... -0.01 eV/atom
Space-group type ... No. 164
Theoretical density ... 15.6 g cm⁻³
Crystal system ... trigonal

# 3
A relaxed structure of MnFeRh, computed with PBE-GGA.

Cell: 3.966 3.966 3.966 Å, 60.00 60.00 60.00°
Atoms (fractional coordinates):
Fe1 0.500 0.500 0.500
Mn1 0.750 0.750 0.750
Rh1 0.000 0.000 0.000

Computed properties:
ΔE_f ... 0.45 eV/atom
Space-group type ... No. 216
Theoretical density ... 8.0 g cm⁻³
Crystal system ... cubic
Relative energy among the computed polymorphs ... 1.32 eV/f.u.

# 4
A relaxed structure of BiSb2TeAs, computed with PBE-GGA.

Cell: 5.775 5.775 5.859 Å, 90.00 90.00 90.00°
Atoms (fractional coordinates):
Sb1 0.000 0.500 0.000
Sb2 0.500 0.000 0.000
As1 0.500 0.500 0.500
Te1 0.000 0.000 0.500
Bi1 0.000 0.000 0.000

Computed properties:
Space-group type ... No. 123
Theoretical density ... 5.6 g cm⁻³
Formation energy without anion corrections ... 1161 meV per atom
Crystal system ... tetragonal
Relative energy among the computed polymorphs ... 3.17 eV/f.u.

# 5
A relaxed structure of HfNbCo, computed with PBE-GGA.

Cell: 5.018 5.106 9.296 Å, 82.38 74.34 60.57°
Atoms (fractional coordinates):
Hf1 0.168 0.500 0.663
Hf2 0.332 0.500 0.337
Hf3 0.582 0.000 0.837
Hf4 0.418 0.000 0.163
Nb1 0.580 0.840 0.500
Nb2 0.920 0.160 0.500
Nb3 0.170 0.660 0.000
Nb4 0.830 0.340 0.000
Co1 0.627 0.500 0.746
Co2 0.873 0.500 0.254
Co3 0.123 0.000 0.754
Co4 0.877 0.000 0.246

Computed properties:
ΔE_f ... -0.23 eV/atom
Space-group type ... No. 70
Theoretical density ... 11.0 g cm⁻³
Crystal system ... orthorhombic
Relative energy among the computed polymorphs ... 0.00 eV/f.u.

# 6
A relaxed structure of ZnCu2Te, computed with PBE-GGA.

Cell: 3.639 3.639 5.199 Å, 90.00 90.00 90.00°
Atoms (fractional coordinates):
Cu1 0.000 0.000 0.982
Cu2 0.500 0.500 0.255
Te1 0.000 0.000 0.477
Zn1 0.500 0.500 0.786

Computed properties:
Space-group type ... No. 99
Theoretical density ... 7.7 g cm⁻³
Formation energy without anion corrections ... 155 meV per atom
Crystal system ... tetragonal
Relative energy among the computed polymorphs ... 0.28 eV/f.u.

# 7
A relaxed structure of RbSnP2C, computed with PBE-GGA.

Cell: 5.303 4.435 5.303 Å, 90.00 90.00 90.00°
Atoms (fractional coordinates):
P1 0.000 0.000 0.500
P2 0.500 0.000 0.000
C1 0.000 0.500 0.000
Sn1 0.000 0.000 0.000
Rb1 0.500 0.500 0.500

Computed properties:
ΔE_f ... 1.32 eV/atom
Space-group type ... No. 123
Theoretical density ... 3.7 g cm⁻³
Crystal system ... tetragonal

# 8
A relaxed structure of CaHg5, computed with PBE-GGA.

Cell: 5.251 5.252 6.433 Å, 90.29 90.00 120.00°
Atoms (fractional coordinates):
Ca1 0.306 0.611 0.111
Hg1 0.971 0.943 0.861
Hg2 0.306 0.611 0.611
Hg3 0.640 0.279 0.361
Hg4 0.638 0.276 0.861
Hg5 0.973 0.946 0.361

Computed properties:
ΔE_f ... -0.26 eV/atom
Space-group type ... No. 12
Theoretical density ... 11.3 g cm⁻³
Crystal system ... monoclinic
Relative energy among the computed polymorphs ... 0.00 eV/f.u.

# 9
A relaxed structure of Pr2Dy8Hg, computed with PBE-GGA.

Cell: 5.592 6.436 10.113 Å, 95.10 106.05 90.00°
Atoms (fractional coordinates):
Pr1 0.757 0.671 0.513
Pr2 0.243 0.329 0.487
Dy1 0.423 0.396 0.846
Dy2 0.657 0.123 0.314
Dy3 0.847 0.196 0.695
Dy4 0.958 0.734 0.916
Dy5 0.153 0.804 0.305
Dy6 0.343 0.877 0.686
Dy7 0.577 0.604 0.154
Dy8 0.042 0.266 0.084
Hg1 0.500 0.000 0.000

Computed properties:
ΔE_f ... -0.04 eV/atom
Space-group type ... No. 12
Theoretical density ... 8.5 g cm⁻³
Crystal system ... monoclinic
Relative energy among the computed polymorphs ... 0.00 eV/f.u.

# 10
A relaxed structure of Na2ZrBeO4, computed with PBE-GGA.

Cell: 5.216 4.925 4.925 Å, 73.72 58.03 58.03°
Atoms (fractional coordinates):
Na1 0.000 0.500 0.500
Na2 0.500 0.500 0.500
Zr1 0.000 0.000 0.000
Be1 0.500 0.000 0.000
O1 0.135 0.317 0.000
O2 0.865 0.000 0.683
O3 0.548 0.000 0.317
O4 0.452 0.683 0.000

Computed properties:
Space-group type ... No. 121
Theoretical density ... 3.8 g cm⁻³
Formation energy without anion corrections ... -2232 meV per atom
Crystal system ... tetragonal

# 11
A relaxed structure of InTeAu3, computed with PBE-GGA.

Cell: 5.363 5.363 5.363 Å, 90.00 90.00 90.00°
Atoms (fractional coordinates):
Te1 0.000 0.000 0.000
Au1 0.000 0.500 0.000
Au2 0.000 0.000 0.500
Au3 0.500 0.000 0.000
In1 0.500 0.500 0.500

Computed properties:
Space-group type ... No. 221
Theoretical density ... 9.0 g cm⁻³
Formation energy without anion corrections ... 325 meV per atom
Crystal system ... cubic
Relative energy among the computed polymorphs ... 0.00 eV/f.u.

# 12
A relaxed structure of SrOsF6, computed with PBE-GGA.

Cell: 5.311 5.487 5.487 Å, 120.00 90.00 90.00°
Atoms (fractional coordinates):
Sr1 0.500 0.000 0.000
Os1 0.000 0.667 0.333
F1 0.778 0.954 0.623
F2 0.222 0.954 0.331
F3 0.222 0.669 0.623
F4 0.778 0.669 0.046
F5 0.778 0.377 0.331
F6 0.222 0.377 0.046

Computed properties:
Space-group type ... No. 149
Theoretical density ... 4.7 g cm⁻³
Formation energy without anion corrections ... -2502 meV per atom
Crystal system ... trigonal

> Which value of theoretical density does entry 10 give?

3.8 g cm⁻³

> Which formula does entry 11 have?

InTeAu3

> theoretical density of number 9 (Pr2Dy8Hg)?

8.5 g cm⁻³